# 1
This record from Alexandria via LeMat-Bulk describes Cu10BPd6 after structural relaxation. The functional is PBE-GGA.

Results
symmetry = P-31m (162)
spin magnetization = 0.000 μB/cell
Fermi-level density of states = 7.6 states/eV per cell
V = 13.5 Å³/atom
energy relative to the elements = 66 meV/atom

```
17
Lattice="4.780 0.000 0.000 0.000 6.444 -3.721 0.000 0.000 7.441" Properties=species:S:1:pos:R:3 pbc="T T T"
Cu 3.603 5.000 2.887
Cu 3.603 0.000 1.668
Cu 3.603 1.445 -0.834
Cu 1.176 1.445 0.834
Cu 1.176 0.000 5.773
Cu 1.176 5.000 -2.887
Cu 2.390 2.148 3.721
Cu 2.390 4.296 0.000
Cu 0.000 4.296 0.000
Cu 0.000 2.148 3.721
B 2.390 0.000 0.000
Pd 3.593 2.576 1.487
Pd 3.593 0.000 4.466
Pd 3.593 3.868 -2.233
Pd 1.186 3.868 2.233
Pd 1.186 0.000 2.975
Pd 1.186 2.576 -1.487
```

---

# 2
This record from Alexandria via LeMat-Bulk describes BaI3N after structural relaxation. The functional is PBE-GGA.

Results
energy relative to the elements, uncorrected = -0.943 eV/atom
symmetry = P-1 (2)
ΔE to the lowest computed polymorph = 0 meV/atom
spin magnetization = 0.000 μB/cell
Fermi-level density of states = 3.3 states/eV per cell
V = 62.1 Å³/atom

```
10
Lattice="-0.960 3.878 -5.629 4.926 -4.082 -2.592 -11.148 -8.317 -0.081" Properties=species:S:1:pos:R:3 pbc="T T T"
Ba 0.990 -0.052 -2.056
Ba -8.173 -8.469 -6.246
I 2.346 -3.105 -3.859
I -9.529 -5.416 -4.442
I -1.186 -2.256 -0.514
I -5.996 -6.265 -7.788
I -0.237 -0.955 -5.162
I -6.946 -7.566 -3.140
N -4.310 -2.302 -6.464
N -2.874 -6.221 -1.841
```

---

# 3
This record from Alexandria via LeMat-Bulk describes Zr6TeBr12 after structural relaxation. The functional is PBE-GGA.

Results
energy relative to the elements, uncorrected = -1.033 eV/atom
symmetry = R-3m (166)
spin magnetization = 1.684 μB/cell
Fermi-level density of states = 7.1 states/eV per cell
V = 32.9 Å³/atom

```
19
Lattice="-5.970 -3.772 -5.259 1.346 -6.205 6.100 -4.807 5.944 4.369" Properties=species:S:1:pos:R:3 pbc="T T T"
Zr -8.580 -2.088 3.145
Zr -7.146 -4.921 3.548
Zr -6.875 -2.656 5.793
Zr -2.285 0.888 1.662
Zr -0.851 -1.945 2.066
Zr -2.557 -1.378 -0.583
Te 0.000 0.000 0.000
Br -7.431 -1.114 -1.611
Br -4.516 -0.135 0.682
Br -2.886 -3.354 1.141
Br -6.853 -3.254 1.519
Br -6.545 -0.680 4.070
Br -4.915 -3.898 4.528
Br -2.432 -6.527 3.248
Br -4.284 1.591 6.179
Br -2.000 -2.920 6.822
Br -6.999 2.494 1.963
Br -5.148 -5.624 -0.969
Br -2.578 -0.779 3.691
```

---

Repeat the second record exactly.
This record from Alexandria via LeMat-Bulk describes BaI3N after structural relaxation. The functional is PBE-GGA.

Results
energy relative to the elements, uncorrected = -0.943 eV/atom
symmetry = P-1 (2)
ΔE to the lowest computed polymorph = 0 meV/atom
spin magnetization = 0.000 μB/cell
Fermi-level density of states = 3.3 states/eV per cell
V = 62.1 Å³/atom

```
10
Lattice="-0.960 3.878 -5.629 4.926 -4.082 -2.592 -11.148 -8.317 -0.081" Properties=species:S:1:pos:R:3 pbc="T T T"
Ba 0.990 -0.052 -2.056
Ba -8.173 -8.469 -6.246
I 2.346 -3.105 -3.859
I -9.529 -5.416 -4.442
I -1.186 -2.256 -0.514
I -5.996 -6.265 -7.788
I -0.237 -0.955 -5.162
I -6.946 -7.566 -3.140
N -4.310 -2.302 -6.464
N -2.874 -6.221 -1.841
```